[1]
DFT (GGA-PBE) results for an optimized crystal structure of HgIr.

Cell lengths 4.1780, 4.1780, 8.0424 Å; angles 90.00, 90.00, 90.00 degrees
With the nearest neighbours (Å) after each atom.
Fractional coordinates of all 8 atoms:
Hg  0.0000  0.2500  0.3750  4 Hg 2.90, 8 Ir 2.90-2.95
Hg  0.0000  0.7500  0.6250  4 Hg 2.90, 8 Ir 2.90-2.95
Hg  0.5000  0.2500  0.1250  4 Hg 2.90, 8 Ir 2.90-2.95
Hg  0.5000  0.7500  0.8750  4 Hg 2.90, 8 Ir 2.90-2.95
Ir  0.0000  0.2500  0.8750  8 Hg 2.90-2.95, 4 Ir 2.90
Ir  0.0000  0.7500  0.1250  8 Hg 2.90-2.95, 4 Ir 2.90
Ir  0.5000  0.2500  0.6250  8 Hg 2.90-2.95, 4 Ir 2.90
Ir  0.5000  0.7500  0.3750  8 Hg 2.90-2.95, 4 Ir 2.90

Properties
For the formation energy, the calculation gives 0.673 eV/atom.

***

[2]
DFT (GGA-PBE) results for an optimized crystal structure of HgIr.

Cell lengths 11.6724, 2.8068, 7.4433 Å; angles 90.00, 114.61, 90.00 degrees
With the nearest neighbours (Å) after each atom.
Fractional coordinates of all 12 atoms:
Hg  0.0000  0.0000  0.0000  2 Hg 2.81, 4 Ir 2.97
Hg  0.1990  0.5000  0.8066  4 Hg 2.81-2.97, 5 Ir 2.86-3.01
Hg  0.3010  0.0000  0.1934  4 Hg 2.81-2.97, 5 Ir 2.86-3.01
Hg  0.5000  0.5000  0.0000  2 Hg 2.81, 4 Ir 2.97
Hg  0.6990  0.0000  0.8066  4 Hg 2.81-2.97, 5 Ir 2.86-3.01
Hg  0.8010  0.5000  0.1934  4 Hg 2.81-2.97, 5 Ir 2.86-3.01
Ir  0.0000  0.0000  0.5000  6 Ir 2.70-2.81, 4 Hg 2.86
Ir  0.1514  0.5000  0.3774  6 Ir 2.66-2.81, 4 Hg 2.97-2.98
Ir  0.3486  0.0000  0.6226  6 Ir 2.66-2.81, 4 Hg 2.97-2.98
Ir  0.5000  0.5000  0.5000  6 Ir 2.70-2.81, 4 Hg 2.86
Ir  0.6514  0.0000  0.3774  6 Ir 2.66-2.81, 4 Hg 2.97-2.98
Ir  0.8486  0.5000  0.6226  6 Ir 2.66-2.81, 4 Hg 2.97-2.98

Properties
For the formation energy, the calculation gives 0.398 eV/atom.

***

[3]
DFT (GGA-PBE) results for an optimized crystal structure of HgIr2.

Cell lengths 4.5085, 4.5085, 2.8738 Å; angles 90.00, 90.00, 120.00 degrees
With the nearest neighbours (Å) after each atom.
Fractional coordinates of all 3 atoms:
Hg  0.0000  0.0000  0.0000  2 Hg 2.87, 12 Ir 2.97
Ir  0.3333  0.6667  0.5000  5 Ir 2.60-2.87
Ir  0.6667  0.3333  0.5000  5 Ir 2.60-2.87

Properties
For the formation energy, the calculation gives 0.576 eV/atom.

***

[4]
DFT (GGA-PBE) results for an optimized crystal structure of HgIr2.

Cell lengths 6.3160, 6.3160, 6.3160 Å; angles 90.00, 90.00, 90.00 degrees
With the nearest neighbours (Å) after each atom.
Fractional coordinates of all 12 atoms:
Hg  0.0000  0.0000  0.0000  6 Ir 2.66
Hg  0.0000  0.5000  0.5000  6 Ir 2.66
Hg  0.5000  0.0000  0.5000  6 Ir 2.66
Hg  0.5000  0.5000  0.0000  6 Ir 2.66
Ir  0.1067  0.6067  0.8933  1 Ir 2.33
Ir  0.1067  0.8933  0.3933  1 Ir 2.33
Ir  0.3933  0.1067  0.8933  1 Ir 2.33
Ir  0.3933  0.3933  0.3933  1 Ir 2.33
Ir  0.6067  0.6067  0.6067  1 Ir 2.33
Ir  0.6067  0.8933  0.1067  1 Ir 2.33
Ir  0.8933  0.1067  0.6067  1 Ir 2.33
Ir  0.8933  0.3933  0.1067  1 Ir 2.33

Properties
For the formation energy, the calculation gives 1.525 eV/atom.

***

[5]
DFT (GGA-PBE) results for an optimized crystal structure of HgIr.

Cell lengths 4.6064, 4.6064, 5.4063 Å; angles 90.00, 90.00, 120.00 degrees
With the nearest neighbours (Å) after each atom.
Fractional coordinates of all 4 atoms:
Hg  0.3333  0.6667  0.2500  5 Ir 2.66-2.70
Hg  0.6667  0.3333  0.7500  5 Ir 2.66-2.70
Ir  0.3333  0.6667  0.7500  5 Hg 2.66-2.70
Ir  0.6667  0.3333  0.2500  5 Hg 2.66-2.70

Properties
For the formation energy, the calculation gives 1.435 eV/atom.

***

[6]
DFT (GGA-PBE) results for an optimized crystal structure of HgIr.

Cell lengths 2.8974, 2.8974, 8.6887 Å; angles 90.00, 90.00, 90.00 degrees
With the nearest neighbours (Å) after each atom.
Fractional coordinates of all 4 atoms:
Hg  0.2500  0.2500  0.1514  4 Hg 2.90, 4 Ir 3.00
Hg  0.7500  0.7500  0.8486  4 Hg 2.90, 4 Ir 3.00
Ir  0.2500  0.2500  0.5969  8 Ir 2.65-2.90
Ir  0.7500  0.7500  0.4031  8 Ir 2.65-2.90

Properties
For the formation energy, the calculation gives 0.396 eV/atom.

***

[7]
DFT (GGA-PBE) results for an optimized crystal structure of HgIr.

Cell lengths 8.1001, 8.1001, 4.7326 Å; angles 90.00, 90.00, 90.00 degrees
With the nearest neighbours (Å) after each atom.
Fractional coordinates of all 16 atoms:
Hg  0.0000  0.2799  0.0000  6 Ir 2.81-2.87
Hg  0.0000  0.7201  0.0000  6 Ir 2.81-2.87
Hg  0.2201  0.5000  0.5000  6 Ir 2.81-2.87
Hg  0.2799  0.0000  0.0000  6 Ir 2.81-2.87
Hg  0.5000  0.2201  0.5000  6 Ir 2.81-2.87
Hg  0.5000  0.7799  0.5000  6 Ir 2.81-2.87
Hg  0.7201  0.0000  0.0000  6 Ir 2.81-2.87
Hg  0.7799  0.5000  0.5000  6 Ir 2.81-2.87
Ir  0.1583  0.1583  0.5000  2 Ir 2.56, 6 Hg 2.81-2.87
Ir  0.1583  0.8417  0.5000  2 Ir 2.56, 6 Hg 2.81-2.87
Ir  0.3417  0.3417  0.0000  2 Ir 2.56, 6 Hg 2.81-2.87
Ir  0.3417  0.6583  0.0000  2 Ir 2.56, 6 Hg 2.81-2.87
Ir  0.6583  0.3417  0.0000  2 Ir 2.56, 6 Hg 2.81-2.87
Ir  0.6583  0.6583  0.0000  2 Ir 2.56, 6 Hg 2.81-2.87
Ir  0.8417  0.1583  0.5000  2 Ir 2.56, 6 Hg 2.81-2.87
Ir  0.8417  0.8417  0.5000  2 Ir 2.56, 6 Hg 2.81-2.87

Properties
For the formation energy, the calculation gives 0.575 eV/atom.

***

[8]
DFT (GGA-PBE) results for an optimized crystal structure of HgIr2.

Cell lengths 3.6175, 3.6175, 4.5528 Å; angles 90.00, 90.00, 90.00 degrees
With the nearest neighbours (Å) after each atom.
Fractional coordinates of all 3 atoms:
Hg  0.0000  0.0000  0.0000  8 Ir 2.91
Ir  0.0000  0.5000  0.5000  4 Ir 2.56
Ir  0.5000  0.0000  0.5000  4 Ir 2.56

Properties
For the formation energy, the calculation gives 0.805 eV/atom.

***

[9]
DFT (GGA-PBE) results for an optimized crystal structure of HgIr.

Cell lengths 10.7070, 2.8928, 5.0348 Å; angles 90.00, 113.03, 90.00 degrees
With the nearest neighbours (Å) after each atom.
Fractional coordinates of all 8 atoms:
Hg  0.1055  0.0000  0.3003  7 Ir 2.86-3.01, 3 Hg 2.89-2.98
Hg  0.3945  0.5000  0.6997  7 Ir 2.86-3.01, 3 Hg 2.89-2.98
Hg  0.6055  0.5000  0.3003  7 Ir 2.86-3.01, 3 Hg 2.89-2.98
Hg  0.8945  0.0000  0.6997  7 Ir 2.86-3.01, 3 Hg 2.89-2.98
Ir  0.1511  0.5000  0.8211  4 Ir 2.61-2.89, 3 Hg 2.86-2.90
Ir  0.3489  0.0000  0.1789  4 Ir 2.61-2.89, 3 Hg 2.86-2.90
Ir  0.6511  0.0000  0.8211  4 Ir 2.61-2.89, 3 Hg 2.86-2.90
Ir  0.8489  0.5000  0.1789  4 Ir 2.61-2.89, 3 Hg 2.86-2.90

Properties
For the formation energy, the calculation gives 0.472 eV/atom.

***

[10]
DFT (GGA-PBE) results for an optimized crystal structure of HgIr.

Cell lengths 7.4541, 7.4541, 7.4541 Å; angles 90.00, 90.00, 90.00 degrees
With the nearest neighbours (Å) after each atom.
Fractional coordinates of all 12 atoms:
Hg  0.0000  0.2500  0.5000  4 Ir 2.64
Hg  0.0000  0.7500  0.5000  4 Ir 2.64
Hg  0.2500  0.5000  0.0000  4 Ir 2.64
Hg  0.5000  0.0000  0.2500  4 Ir 2.64
Hg  0.5000  0.0000  0.7500  4 Ir 2.64
Hg  0.7500  0.5000  0.0000  4 Ir 2.64
Ir  0.0000  0.5000  0.2500  4 Hg 2.64
Ir  0.0000  0.5000  0.7500  4 Hg 2.64
Ir  0.2500  0.0000  0.5000  4 Hg 2.64
Ir  0.5000  0.2500  0.0000  4 Hg 2.64
Ir  0.5000  0.7500  0.0000  4 Hg 2.64
Ir  0.7500  0.0000  0.5000  4 Hg 2.64

Properties
For the formation energy, the calculation gives 1.763 eV/atom.

***

[11]
DFT (GGA-PBE) results for an optimized crystal structure of HgIr7.

Cell lengths 5.5593, 5.5593, 5.5593 Å; angles 60.00, 60.00, 60.00 degrees
With the nearest neighbours (Å) after each atom.
Fractional coordinates of all 8 atoms:
Hg  0.0000  0.0000  0.0000  12 Ir 2.78
Ir  0.0000  0.0000  0.5000  2 Hg 2.78, 10 Ir 2.78
Ir  0.0000  0.5000  0.0000  2 Hg 2.78, 10 Ir 2.78
Ir  0.0000  0.5000  0.5000  10 Ir 2.78, 2 Hg 2.78
Ir  0.5000  0.0000  0.0000  2 Hg 2.78, 10 Ir 2.78
Ir  0.5000  0.0000  0.5000  10 Ir 2.78, 2 Hg 2.78
Ir  0.5000  0.5000  0.0000  10 Ir 2.78, 2 Hg 2.78
Ir  0.5000  0.5000  0.5000  12 Ir 2.78

Properties
For the formation energy, the calculation gives 0.283 eV/atom.

***

[12]
DFT (GGA-PBE) results for an optimized crystal structure of HgIr.

Cell lengths 8.2511, 8.2511, 8.2511 Å; angles 90.00, 90.00, 90.00 degrees
With the nearest neighbours (Å) after each atom.
Fractional coordinates of all 16 atoms:
Hg  0.2082  0.2082  0.7917  4 Ir 2.62-2.86
Hg  0.2082  0.7917  0.2082  4 Ir 2.62-2.86
Hg  0.2918  0.2918  0.2918  4 Ir 2.62-2.86
Hg  0.2918  0.7083  0.7083  4 Ir 2.62-2.86
Hg  0.7083  0.2918  0.7083  4 Ir 2.62-2.86
Hg  0.7083  0.7083  0.2918  4 Ir 2.62-2.86
Hg  0.7917  0.2082  0.2082  4 Ir 2.62-2.86
Hg  0.7917  0.7917  0.7917  4 Ir 2.62-2.86
Ir  0.1088  0.1088  0.1088  3 Ir 2.54, 1 Hg 2.62
Ir  0.1088  0.8912  0.8912  3 Ir 2.54, 1 Hg 2.62
Ir  0.3912  0.3912  0.6088  3 Ir 2.54, 1 Hg 2.62
Ir  0.3912  0.6088  0.3912  3 Ir 2.54, 1 Hg 2.62
Ir  0.6088  0.3912  0.3912  3 Ir 2.54, 1 Hg 2.62
Ir  0.6088  0.6088  0.6088  3 Ir 2.54, 1 Hg 2.62
Ir  0.8912  0.1088  0.8912  3 Ir 2.54, 1 Hg 2.62
Ir  0.8912  0.8912  0.1088  3 Ir 2.54, 1 Hg 2.62

Properties
For the formation energy, the calculation gives 1.046 eV/atom.

***

| no. | calculated density (g cm⁻³) | E_tot (eV/atom) |
| --- | --- | --- |
| 1 | 18.59 | -3.909 |
| 2 | 17.65 | -4.184 |
| 3 | 19.20 | -5.432 |
| 4 | 15.42 | -4.483 |
| 5 | 13.13 | -3.147 |
| 6 | 17.88 | -4.186 |
| 7 | 16.80 | -4.006 |
| 8 | 16.31 | -5.203 |
| 9 | 18.18 | -4.109 |
| 10 | 9.45 | -2.819 |
| 11 | 21.13 | -7.508 |
| 12 | 9.29 | -3.536 |